1.
First-principles (PBE-GGA) data for crystalline ThAgSbPd at its relaxed geometry, as listed in the Alexandria database.

Values from the calculation:
Theoretical density = 10512 kg/m3
Energy relative to the elements, uncorrected = -0.4789 eV/atom
Magnetic moment = 0.000 μB per cell
SG = F-43m (216)

Cell: 5.0253 5.0253 5.0253 Å, 60.00 60.00 60.00°
Last column: nearest neighbours and their distance in Å.
Sites, in units of the cell vectors:
Sb 0.0000 0.0000 0.0000  4 Pd 3.08, 4 Ag 3.08
Pd 0.7500 0.7500 0.7500  4 Th 3.08, 4 Sb 3.08
Ag 0.2500 0.2500 0.2500  4 Th 3.08, 4 Sb 3.08
Th 0.5000 0.5000 0.5000  4 Ag 3.08, 4 Pd 3.08

=====

2.
First-principles (PBE-GGA) data for crystalline TiAgSb2Pd at its relaxed geometry, as listed in the Alexandria database.

Values from the calculation:
Theoretical density = 6309 kg/m3
Energy relative to the elements, uncorrected = 0.9697 eV/atom
Magnetic moment = 0.000 μB per cell
SG = P4/mmm (123)

Cell: 5.1839 4.9526 5.1839 Å, 90.00 90.00 90.00°
Last column: nearest neighbours and their distance in Å.
Sites, in units of the cell vectors:
Sb 0.0000 0.0000 0.5000  2 Ag 2.59
Sb 0.5000 0.0000 0.0000  2 Ag 2.59
Pd 0.5000 0.5000 0.5000  8 Sb 3.58, 4 Ti 3.67
Ag 0.0000 0.0000 0.0000  2 Ti 2.48, 4 Sb 2.59
Ti 0.0000 0.5000 0.0000  2 Ag 2.48

=====

3.
First-principles (PBE-GGA) data for crystalline Ti2AgSbPd at its relaxed geometry, as listed in the Alexandria database.

Values from the calculation:
Theoretical density = 6028 kg/m3
Energy relative to the elements, uncorrected = 1.0599 eV/atom
Magnetic moment = 0.027 μB per cell
SG = P4/mmm (123)

Cell: 4.8958 4.9620 4.8958 Å, 90.00 90.00 90.00°
Last column: nearest neighbours and their distance in Å.
Sites, in units of the cell vectors:
Sb 0.0000 0.5000 0.0000  2 Ag 2.48
Pd 0.5000 0.5000 0.5000  4 Sb 3.46, 8 Ti 3.49
Ag 0.0000 0.0000 0.0000  4 Ti 2.45, 2 Sb 2.48
Ti 0.0000 0.0000 0.5000  2 Ag 2.45
Ti 0.5000 0.0000 0.0000  2 Ag 2.45

=====

4.
First-principles (PBE-GGA) data for crystalline ZrAgSb2Pd at its relaxed geometry, as listed in the Alexandria database.

Values from the calculation:
Theoretical density = 6991 kg/m3
Energy relative to the elements, uncorrected = 0.6253 eV/atom
Magnetic moment = 0.000 μB per cell
SG = P4/mmm (123)

Cell: 5.1738 4.8718 5.1738 Å, 90.00 90.00 90.00°
Last column: nearest neighbours and their distance in Å.
Sites, in units of the cell vectors:
Sb 0.0000 0.0000 0.5000  2 Ag 2.59
Sb 0.5000 0.0000 0.0000  2 Ag 2.59
Zr 0.5000 0.5000 0.5000  8 Sb 3.55, 4 Pd 3.66
Pd 0.0000 0.5000 0.0000  2 Ag 2.44
Ag 0.0000 0.0000 0.0000  2 Pd 2.44, 4 Sb 2.59

=====

5.
First-principles (PBE-GGA) data for crystalline ScAgPd4 at its relaxed geometry, as listed in the Alexandria database.

Values from the calculation:
Polymorph energy (0 for the lowest one) = 0.59 eV per formula unit
Theoretical density = 9296 kg/m3
Magnetic moment = 0.000 μB per cell
DFT formation energy = -0.409 eV per atom
SG = F-43m (216)

Cell: 5.2674 5.2674 5.2674 Å, 60.00 60.00 60.00°
Last column: nearest neighbours and their distance in Å.
Sites, in units of the cell vectors:
Sc 0.0000 0.0000 0.0000  12 Pd 3.09, 4 Ag 3.23
Pd 0.6250 0.6250 0.1251  6 Pd 2.63
Pd 0.6250 0.1251 0.6250  6 Pd 2.63
Pd 0.6250 0.6250 0.6250  6 Pd 2.63
Pd 0.1251 0.6250 0.6250  6 Pd 2.63
Ag 0.2500 0.2500 0.2500  12 Pd 3.09, 4 Sc 3.23

=====

6.
First-principles (PBE-GGA) data for crystalline ScAg2Pd at its relaxed geometry, as listed in the Alexandria database.

Values from the calculation:
Polymorph energy (0 for the lowest one) = 0.00 eV per formula unit
Theoretical density = 8607 kg/m3
Magnetic moment = 0.000 μB per cell
DFT formation energy = -0.444 eV per atom
SG = Pmmn (59)

Cell: 4.8469 5.2685 5.5473 Å, 90.02 90.00 90.00°
Last column: nearest neighbours and their distance in Å.
Sites, in units of the cell vectors:
Sc 0.2500 0.3690 0.2502  4 Pd 2.78-2.84, 8 Ag 2.91-3.06
Sc 0.7500 0.6310 0.7498  4 Pd 2.78-2.84, 8 Ag 2.91-3.06
Ag 0.2500 0.8530 0.5024  4 Ag 2.75-2.88, 4 Sc 2.91-3.06, 4 Pd 2.96-3.00
Ag 0.7500 0.1470 0.4976  4 Ag 2.75-2.88, 4 Sc 2.91-3.06, 4 Pd 2.96-3.00
Ag 0.2500 0.8530 0.9984  4 Ag 2.75-2.88, 4 Sc 2.91-3.06, 4 Pd 2.96-2.99
Ag 0.7500 0.1470 0.0016  4 Ag 2.75-2.88, 4 Sc 2.91-3.06, 4 Pd 2.96-2.99
Pd 0.2500 0.3497 0.7501  4 Sc 2.78-2.84, 8 Ag 2.96-3.00
Pd 0.7500 0.6503 0.2499  4 Sc 2.78-2.84, 8 Ag 2.96-3.00